The following is a DFT calculation (meta-GGA SCAN) of a crystal of HgSbAs relaxed with PBEsol.

Cell: 7.9975 7.7710 3.1552 Å, 82.52 74.45 23.03°
With the nearest neighbours (Å) after each atom.
Fractional positions:
Hg: 0.0000 0.0000 0.0000  2 As 3.10, 4 Hg 3.16, 2 Sb 3.35
Sb: 0.6875 0.6875 0.3125  2 As 2.83, 4 Sb 3.16
As: 0.3324 0.3324 0.6676  2 Sb 2.83, 2 Hg 3.10, 4 As 3.16

Results
symmetry: Fmm2, No. 42
raw total energy: -41.56 eV/atom
crystal system: orthorhombic
density of states at the Fermi level: 1.0 states/eV/f.u.
formation energy without anion corrections: 0.3082 eV per atom
energy above the most stable polymorph in this dataset: 258 meV/atom